P | A relaxed structure of Na2CdIr2, computed with PBE.

Unit cell a=8.909 b=8.909 c=2.628 alpha=90.00 beta=90.00 gamma=90.00
Fractional positions:
Na (0.190, 0.690, 0.500)
Na (0.690, 0.810, 0.500)
Na (0.810, 0.310, 0.500)
Na (0.310, 0.190, 0.500)
Ir (0.403, 0.903, 0.000)
Ir (0.903, 0.597, 0.000)
Ir (0.597, 0.097, 0.000)
Ir (0.097, 0.403, 0.000)
Cd (0.000, 0.000, 0.000)
Cd (0.500, 0.500, 0.000)

Properties
* density of states at the Fermi level: 8.81 states/eV per cell
* spin magnetization: 0.00 μB/f.u.
* symmetry: P4/mbm (127)


Q | A relaxed structure of Na2CdIr2, computed with PBE.

Unit cell a=3.780 b=3.780 c=7.583 alpha=75.57 beta=75.57 gamma=90.00
Each line ends with the local moment (μB).
Fractional positions:
Na (0.750, 0.250, 0.500)  0.00
Na (0.250, 0.750, 0.500)  0.00
Ir (0.414, 0.414, 0.173)  0.94
Ir (0.586, 0.586, 0.827)  0.94
Cd (0.000, 0.000, 0.000)  -0.02

Properties
* density of states at the Fermi level: 5.87 states/eV per cell
* spin magnetization: 1.97 μB/f.u.
* symmetry: I4/mmm (139)


Order of stability, best first: P, Q


P | A relaxed structure of NbCd2Ir, computed with PBE.

Unit cell a=7.782 b=7.782 c=6.113 alpha=50.47 beta=50.47 gamma=90.00
Fractional positions:
Nb (0.500, 0.500, 0.000)
Nb (0.250, 0.750, 0.500)
Ir (0.000, 0.000, 0.000)
Ir (0.750, 0.250, 0.500)
Cd (0.648, 0.125, 0.250)
Cd (0.102, 0.625, 0.250)
Cd (0.375, 0.352, 0.750)
Cd (0.875, 0.898, 0.750)

Properties
* density of states at the Fermi level: 8.49 states/eV per cell
* spin magnetization: 0.00 μB/f.u.
* symmetry: I-42d (122)


Q | A relaxed structure of NbCd2Ir, computed with PBE.

Unit cell a=4.657 b=4.657 c=4.657 alpha=60.00 beta=60.00 gamma=60.00
Each line ends with the local moment (μB).
Fractional positions:
Nb (0.000, 0.000, 0.000)  0.15
Ir (0.500, 0.500, 0.500)  0.00
Cd (0.250, 0.250, 0.250)  0.00
Cd (0.750, 0.750, 0.750)  0.00

Properties
* density of states at the Fermi level: 3.60 states/eV per cell
* spin magnetization: 0.16 μB/f.u.
* symmetry: Fm-3m (225)


Order of stability, best first: Q, P


P | A relaxed structure of Nd4CdIr2, computed with PBE.

Unit cell a=7.895 b=7.895 c=7.895 alpha=108.81 beta=110.81 gamma=108.81
Fractional positions:
Ir (0.875, 0.117, 0.492)
Ir (0.508, 0.383, 0.625)
Ir (0.375, 0.883, 0.758)
Ir (0.242, 0.617, 0.125)
Nd (0.151, 0.892, 0.397)
Nd (0.603, 0.754, 0.495)
Nd (0.009, 0.608, 0.755)
Nd (0.245, 0.254, 0.853)
Nd (0.599, 0.746, 0.991)
Nd (0.741, 0.246, 0.849)
Nd (0.505, 0.108, 0.259)
Nd (0.147, 0.392, 0.401)
Cd (0.000, 0.000, 0.000)
Cd (0.750, 0.500, 0.250)

Properties
* density of states at the Fermi level: 13.10 states/eV per cell
* spin magnetization: 0.00 μB/f.u.
* symmetry: I-42d (122)


Q | A relaxed structure of Nd4CdIr2, computed with PBE.

Unit cell a=7.150 b=7.132 c=8.843 alpha=107.82 beta=107.91 gamma=103.82
Fractional positions:
Nd (0.973, 0.203, 0.323)
Nd (0.391, 0.476, 0.199)
Nd (0.841, 0.603, 0.608)
Nd (0.743, 0.182, 0.770)
Nd (0.443, 0.027, 0.302)
Nd (0.224, 0.164, 0.730)
Nd (0.482, 0.746, 0.892)
Nd (0.899, 0.629, 0.175)
Cd (0.301, 0.722, 0.516)
Cd (0.039, 0.956, 0.984)
Ir (0.434, 0.378, 0.568)
Ir (0.780, 0.899, 0.443)
Ir (0.585, 0.206, 0.057)
Ir (0.115, 0.558, 0.932)

Properties
* density of states at the Fermi level: 12.65 states/eV per cell
* spin magnetization: 0.00 μB/f.u.
* symmetry: P1 (1)


Order of stability, best first: Q, P


P | A relaxed structure of CdNiIr, computed with PBE.

Unit cell a=4.340 b=4.340 c=2.829 alpha=90.00 beta=90.00 gamma=120.00
Fractional positions:
Cd (0.000, 0.000, 0.000)
Ir (0.333, 0.667, 0.500)
Ni (0.667, 0.333, 0.500)

Properties
* density of states at the Fermi level: 3.51 states/eV per cell
* spin magnetization: 0.01 μB/f.u.
* symmetry: P-6m2 (187)


Q | A relaxed structure of CdNiIr, computed with PBE.

Unit cell a=4.167 b=4.167 c=4.167 alpha=60.00 beta=60.00 gamma=60.00
Each line ends with the local moment (μB).
Fractional positions:
Cd (0.000, 0.000, 0.000)  -0.02
Ir (0.500, 0.500, 0.500)  0.63
Ni (0.750, 0.750, 0.750)  0.69

Properties
* density of states at the Fermi level: 4.39 states/eV per cell
* spin magnetization: 1.27 μB/f.u.
* symmetry: F-43m (216)


R | A relaxed structure of CdNiIr, computed with PBE.

Unit cell a=7.198 b=6.947 c=2.758 alpha=83.92 beta=73.69 gamma=22.39
Each line ends with the local moment (μB).
Fractional positions:
Cd (0.995, 0.995, 0.005)  0.00
Ni (0.328, 0.328, 0.672)  0.13
Ir (0.677, 0.677, 0.323)  0.08

Properties
* density of states at the Fermi level: 4.58 states/eV per cell
* spin magnetization: 0.20 μB/f.u.
* symmetry: Fmm2 (42)


Order of stability, best first: P, R, Q


P | A relaxed structure of Cd2Ir2O, computed with PBE.

Unit cell a=3.496 b=3.496 c=7.899 alpha=77.22 beta=77.22 gamma=90.00
Fractional positions:
Ir (0.750, 0.250, 0.500)
Ir (0.250, 0.750, 0.500)
O (0.000, 0.000, 0.000)
Cd (0.409, 0.409, 0.183)
Cd (0.591, 0.591, 0.817)

Properties
* density of states at the Fermi level: 3.43 states/eV per cell
* spin magnetization: 0.00 μB/f.u.
* symmetry: I4/mmm (139)


Q | A relaxed structure of Cd2Ir2O, computed with PBE.

Unit cell a=3.996 b=3.996 c=6.813 alpha=72.95 beta=72.95 gamma=90.00
Each line ends with the local moment (μB).
Fractional positions:
Ir (0.403, 0.403, 0.193)  1.40
Ir (0.597, 0.597, 0.807)  1.40
O (0.000, 0.000, 0.000)  0.89
Cd (0.750, 0.250, 0.500)  0.02
Cd (0.250, 0.750, 0.500)  0.02

Properties
* density of states at the Fermi level: 4.02 states/eV per cell
* spin magnetization: 3.99 μB/f.u.
* symmetry: I4/mmm (139)


Order of stability, best first: P, Q


P | A relaxed structure of Cd2Ir2O, computed with PBE.

Unit cell a=5.786 b=5.786 c=4.986 alpha=90.00 beta=90.00 gamma=90.00
Each line ends with the local moment (μB).
Fractional positions:
Ir (0.155, 0.655, 0.500)  0.45
Ir (0.655, 0.845, 0.500)  0.45
Ir (0.845, 0.345, 0.500)  0.45
Ir (0.345, 0.155, 0.500)  0.45
O (0.000, 0.000, 0.000)  0.01
O (0.500, 0.500, 0.000)  0.01
Cd (0.334, 0.834, 0.000)  0.00
Cd (0.834, 0.666, 0.000)  0.00
Cd (0.666, 0.166, 0.000)  0.00
Cd (0.166, 0.334, 0.000)  0.00

Properties
* density of states at the Fermi level: 7.43 states/eV per cell
* spin magnetization: 0.91 μB/f.u.
* symmetry: P4/mbm (127)


Q | A relaxed structure of Cd2Ir2O, computed with PBE.

Unit cell a=5.724 b=5.724 c=4.939 alpha=90.00 beta=90.00 gamma=90.00
Fractional positions:
Ir (0.334, 0.834, 0.000)
Ir (0.834, 0.666, 0.000)
Ir (0.666, 0.166, 0.000)
Ir (0.166, 0.334, 0.000)
O (0.000, 0.000, 0.000)
O (0.500, 0.500, 0.000)
Cd (0.172, 0.672, 0.500)
Cd (0.672, 0.828, 0.500)
Cd (0.828, 0.328, 0.500)
Cd (0.328, 0.172, 0.500)

Properties
* density of states at the Fermi level: 10.23 states/eV per cell
* spin magnetization: 0.00 μB/f.u.
* symmetry: P4/mbm (127)


Order of stability, best first: Q, P